No. 1
HfTi3C (PBE, optimized geometry); total moment = 0.28 μB/atom; formation energy from the elements = 236.6 kJ per mole of atoms; SG = No. 221; distance to the lowest polymorph of the same formula = 2691 meV per atom; E = -6.120 eV per atom
1.0
4.779 0.000 0.000
0.000 4.779 0.000
0.000 0.000 4.779
Hf Ti C
1 3 1
direct
0.000 0.000 0.000
0.000 0.000 0.500
0.000 0.500 0.000
0.500 0.000 0.000
0.500 0.500 0.500

***

No. 2
Tc3SI (PBE, optimized geometry); total moment = 0.00 μB/atom; SG = No. 221; ΔE_f (raw) = 0.883 eV/atom; distance to the lowest polymorph of the same formula = 0 meV per atom; E = -6.472 eV per atom
1.0
4.463 0.000 0.000
0.000 4.463 0.000
0.000 0.000 4.463
Tc S I
3 1 1
direct
0.000 0.000 0.500
0.000 0.500 0.000
0.500 0.000 0.000
0.000 0.000 0.000
0.500 0.500 0.500

***

No. 3
La14PmTl (PBE, optimized geometry); total moment = 0.00 μB/atom; formation energy from the elements = -4.8 kJ per mole of atoms; SG = No. 38; E = -4.806 eV per atom
1.0
10.415 0.000 0.000
0.000 5.199 5.192
0.000 -5.199 5.192
La Pm Tl
14 1 1
direct
0.000 0.000 0.000
0.000 0.000 0.499
0.000 0.499 0.000
0.000 0.499 0.499
0.255 0.254 0.745
0.255 0.744 0.744
0.255 0.745 0.254
0.256 0.255 0.255
0.500 0.500 0.999
0.500 0.999 0.500
0.744 0.255 0.255
0.745 0.254 0.745
0.745 0.744 0.744
0.745 0.745 0.254
0.500 0.999 0.999
0.500 0.499 0.499

***

No. 4
NaTlS2 (PBE, optimized geometry); total moment = 0.00 μB/atom; SG = No. 123; ΔE_f (raw) = -0.211 eV/atom; E = -3.196 eV per atom
1.0
5.347 0.000 0.000
0.000 5.347 0.000
0.000 0.000 3.061
Na Tl S
1 1 2
direct
0.000 0.000 0.000
0.500 0.500 0.000
0.000 0.500 0.500
0.500 0.000 0.500

***

No. 5
CdSi2Br (PBE, optimized geometry); total moment = 0.00 μB/atom; SG = No. 10; ΔE_f (raw) = 0.308 eV/atom; distance to the lowest polymorph of the same formula = 286 meV per atom; E = -3.050 eV per atom
1.0
3.829 0.000 0.000
0.000 5.175 0.000
-0.519 0.000 4.790
Cd Si Br
1 2 1
direct
0.000 0.000 0.000
0.227 0.500 0.852
0.773 0.500 0.148
0.500 0.000 0.500

***

No. 6
MnBeFe14 (PBE, optimized geometry); total moment = 1.96 μB/atom; formation energy from the elements = 1.7 kJ per mole of atoms; SG = No. 65; E = -8.193 eV per atom
1.0
2.819 -3.975 0.000
2.819 3.975 0.000
0.000 0.000 7.956
Mn Be Fe
1 1 14
direct
0.000 0.000 0.000
0.500 0.500 0.000
0.000 0.000 0.500
0.000 0.500 0.000
0.000 0.500 0.500
0.251 0.749 0.247
0.251 0.749 0.753
0.252 0.252 0.246
0.252 0.252 0.754
0.500 0.000 0.000
0.500 0.000 0.500
0.500 0.500 0.500
0.748 0.748 0.246
0.748 0.748 0.754
0.749 0.251 0.247
0.749 0.251 0.753

***

No. 7
Sr2CaLa (PBE, optimized geometry); total moment = 0.00 μB/atom; formation energy from the elements = 12.6 kJ per mole of atoms; SG = No. 216; distance to the lowest polymorph of the same formula = 45 meV per atom; E = -2.442 eV per atom
1.0
0.000 4.506 4.506
4.506 0.000 4.506
4.506 4.506 0.000
Sr Ca La
2 1 1
direct
0.000 0.000 0.000
0.250 0.250 0.250
0.750 0.750 0.750
0.500 0.500 0.500

***

No. 8
NdSiTc (PBE, optimized geometry); total moment = 0.00 μB/atom; SG = No. 187; ΔE_f (raw) = -0.348 eV/atom; distance to the lowest polymorph of the same formula = 202 meV per atom; E = -7.200 eV per atom
1.0
4.225 0.000 0.000
-2.112 3.659 0.000
0.000 0.000 4.083
Nd Si Tc
1 1 1
direct
0.000 0.000 0.000
0.667 0.333 0.500
0.333 0.667 0.500